! CaZnCd3Ag | the Alexandria database | PBE-GGA | optimized geometry; values from VASP
&SYSTEM
  ibrav = 0, nat = 12, ntyp = 4
/
ATOMIC_SPECIES
Ca 40.08 Ca.upf
Zn 65.41 Zn.upf
Cd 112.41 Cd.upf
Ag 107.87 Ag.upf
CELL_PARAMETERS angstrom
3.159 -7.115 0.000
3.159 7.115 0.000
0.000 0.000 6.269
ATOMIC_POSITIONS angstrom
Ca 3.159 4.301 4.702
Ca 3.159 -4.301 1.567
Zn 3.159 1.428 4.702
Zn 3.159 -1.428 1.567
Cd 1.422 0.000 0.000
Cd 1.422 0.000 3.134
Cd 3.159 2.062 1.567
Cd 3.159 -2.062 4.702
Cd 4.896 0.000 0.000
Cd 4.896 0.000 3.134
Ag 3.159 4.911 1.567
Ag 3.159 -4.911 4.702
! * SG: Cmcm, No. 63
! * V: 23.49 Å³ per atom
! * calculated total energy: -18.59 eV per cell